TbPr10Nd4: relaxed, PBE.

Lattice parameters (Å, degrees): 9.184 9.184 9.184 101.05 101.05 128.07
Fractional coordinates of all 15 atoms:
Tb  0.000  0.000  0.000
Pr  0.077  0.289  0.787
Pr  0.250  0.750  0.500
Pr  0.289  0.077  0.787
Pr  0.289  0.502  0.213
Pr  0.498  0.711  0.787
Pr  0.502  0.289  0.213
Pr  0.711  0.498  0.787
Pr  0.711  0.923  0.213
Pr  0.750  0.250  0.500
Pr  0.923  0.711  0.213
Nd  0.228  0.228  0.456
Nd  0.228  0.772  0.000
Nd  0.772  0.228  0.000
Nd  0.772  0.772  0.544

---

Tb6Pr12Nd: relaxed, PBE.

Summary:
- distance to the lowest polymorph of the same formula (eV per formula unit) = 1.14

Lattice parameters (Å, degrees): 8.939 8.939 8.939 99.33 99.33 99.33
Fractional coordinates of all 19 atoms:
Tb  0.163  0.596  0.596
Tb  0.404  0.404  0.837
Tb  0.404  0.837  0.404
Tb  0.596  0.163  0.596
Tb  0.596  0.596  0.163
Tb  0.837  0.404  0.404
Pr  0.000  0.259  0.741
Pr  0.000  0.741  0.259
Pr  0.147  0.147  0.417
Pr  0.147  0.417  0.147
Pr  0.259  0.000  0.741
Pr  0.259  0.741  0.000
Pr  0.417  0.147  0.147
Pr  0.583  0.853  0.853
Pr  0.741  0.000  0.259
Pr  0.741  0.259  0.000
Pr  0.853  0.583  0.853
Pr  0.853  0.853  0.583
Nd  0.500  0.500  0.500

---

no.,energy relative to the elements (eV/atom),spin magnetization (μB/atom),final energy (eV per atom)
1,0.216,0.0000,-4.551
2,0.186,0.0000,-4.546